Here is a relaxed structure of MgTlSn from Alexandria via LeMat-Bulk. Energies are from GGA-PBE.

Cell: 8.9490 13.7483 7.9453 Å, 90.00 90.00 90.00°
Space group Ima2 (No. 46)
Inequivalent atoms, fractional coordinates:
Mg (0.0000, 0.0000, 0.0000) x4
Mg (0.0191, 0.1256, 0.3783) x8
Tl (0.2500, 0.1951, 0.0521) x4
Tl (0.2500, 0.5069, 0.1678) x4
Tl (0.2500, 0.7190, 0.5292) x4
Sn (0.0118, 0.1670, 0.7505) x8
Sn (0.2500, 0.5165, 0.7530) x4

Output
E_tot = -96.826 eV/cell
Calculated formation energy = -35 meV/atom
Total moment = 0.0 μB/cell
Energy above the most stable polymorph in this dataset = 21.0 meV/atom